Entry 1:
Below is an optimized crystal structure of InPtRh2, with properties calculated at the GGA-PBEsol level.

Cell: 3.9479 3.9479 7.7881 Å, 90.00 90.00 90.00°
Positions (direct):
1 In 0.0000 0.0000 0.0000
2 In 0.5000 0.5000 0.5000
3 Pt 0.0000 0.5000 0.7500
4 Pt 0.5000 0.0000 0.2500
5 Rh 0.0000 0.0000 0.5000
6 Rh 0.0000 0.5000 0.2500
7 Rh 0.5000 0.0000 0.7500
8 Rh 0.5000 0.5000 0.0000

Summary:
For the energy of formation from the pure elements, the calculation gives -0.20 eV per atom. As for the space group: I-4m2. As for the crystal system: tetragonal.

Entry 2:
Below is an optimized crystal structure of Sc2ZnPb, with properties calculated at the GGA-PBEsol level.

Cell: 3.2485 3.9225 6.4273 Å, 90.00 90.00 90.00°
Positions (direct):
1 Sc 0.0000 0.0000 0.2337
2 Sc 0.0000 0.0000 0.7663
3 Zn 0.5000 0.5000 0.0000
4 Pb 0.5000 0.5000 0.5000

Summary:
For the energy of formation from the pure elements, the calculation gives -0.38 eV per atom. As for the space group: Pmmm. As for the crystal system: orthorhombic.

Entry 3:
Below is an optimized crystal structure of K3HfGe, with properties calculated at the GGA-PBEsol level.

Cell: 6.2638 6.2638 6.2638 Å, 90.00 90.00 90.00°
Positions (direct):
1 K 0.0000 0.0000 0.5000
2 K 0.0000 0.5000 0.0000
3 K 0.5000 0.0000 0.0000
4 Hf 0.5000 0.5000 0.5000
5 Ge 0.0000 0.0000 0.0000

Summary:
For the energy of formation from the pure elements, the calculation gives 1.26 eV per atom. As for the space group: Pm-3m. As for the crystal system: cubic.

Entry 4:
Below is an optimized crystal structure of SrMnO3, with properties calculated at the GGA-PBEsol level.

Cell: 3.7886 3.7886 3.7886 Å, 90.00 90.00 90.00°
Positions (direct):
1 Sr 0.0000 0.0000 0.0000
2 Mn 0.5000 0.5000 0.5000
3 O 0.0000 0.5000 0.5000
4 O 0.5000 0.0000 0.5000
5 O 0.5000 0.5000 0.0000

Summary:
The formation energy without anion corrections is -2.26 eV per atom. As for the space group: Pm-3m. As for the crystal system: cubic.

Entry 5:
Below is an optimized crystal structure of LiNiSb2, with properties calculated at the GGA-PBEsol level.

Cell: 3.1625 3.1625 7.5458 Å, 90.00 90.00 90.00°
Positions (direct):
1 Li 0.0000 0.0000 0.0000
2 Ni 0.0000 0.0000 0.5000
3 Sb 0.5000 0.5000 0.2831
4 Sb 0.5000 0.5000 0.7169

Summary:
The formation energy without anion corrections is -0.16 eV per atom. The calculation puts the offset from the most stable computed form at 17 meV/atom. As for the space group: P4/mmm. As for the crystal system: tetragonal.

Entry 6:
Below is an optimized crystal structure of Ga3Ni2, with properties calculated at the GGA-PBEsol level.

Cell: 4.0036 4.0036 4.8516 Å, 90.00 90.00 120.00°
Positions (direct):
1 Ga 0.0000 0.0000 0.0000
2 Ga 0.3333 0.6667 0.6399
3 Ga 0.6667 0.3333 0.3601
4 Ni 0.3333 0.6667 0.1418
5 Ni 0.6667 0.3333 0.8582

Summary:
For the energy of formation from the pure elements, the calculation gives -0.46 eV per atom. As for the space group: P-3m1. As for the crystal system: trigonal.

| no. | total DFT energy (no corrections) (eV/atom) | magnetic moment (μB per cell) |
| --- | --- | --- |
| 1 | -6.755 | 0.06 |
| 2 | -5.074 | 0.00 |
| 3 | -2.503 | 0.96 |
| 4 | -7.733 | 3.00 |
| 5 | -4.467 | 0.00 |
| 6 | -4.928 | 0.00 |